Entry 1:
Computed, not measured: MgZr5 at its PBEsol-relaxed geometry at the meta-GGA SCAN level of DFT.

## Properties
SG ... No. 123
E_form ... 3.2 kJ per mole of atoms
Total moment ... 0.0 Bohr magnetons per cell
DFT total energy ... -158.3 eV per cell
DOS at the Fermi energy ... 6.28 states/eV/cell

```
6
Lattice="3.1166 0.0000 0.0000 0.0000 3.1166 0.0000 0.0000 0.0000 13.7335" Properties=species:S:1:pos:R:3 pbc="T T T"
Mg 1.5583 1.5583 6.8668
Zr 0.0000 0.0000 9.2477
Zr 1.5583 1.5583 11.4833
Zr 0.0000 0.0000 0.0000
Zr 1.5583 1.5583 2.2502
Zr 0.0000 0.0000 4.4858
```

---

Entry 2:
Computed, not measured: MgZr7 at its PBEsol-relaxed geometry at the meta-GGA SCAN level of DFT.

## Properties
SG ... No. 225
E_form ... 7.9 kJ per mole of atoms
Total moment ... 0.0 Bohr magnetons per cell
DFT total energy ... -219.2 eV per cell
DOS at the Fermi energy ... 12.55 states/eV/cell

```
8
Lattice="6.2927 0.0000 0.0000 3.1463 5.4496 0.0000 3.1463 1.8165 5.1380" Properties=species:S:1:pos:R:3 pbc="T T T"
Mg 0.0000 0.0000 0.0000
Zr 3.1463 0.0000 0.0000
Zr 4.7195 2.7248 0.0000
Zr 1.5732 2.7248 0.0000
Zr 4.7195 0.9083 2.5690
Zr 1.5732 0.9083 2.5690
Zr 3.1463 3.6331 2.5690
Zr 6.2927 3.6331 2.5690
```

---

Entry 3:
Computed, not measured: MgZr5 at its PBEsol-relaxed geometry at the meta-GGA SCAN level of DFT.

## Properties
SG ... No. 38
E_form ... 5.4 kJ per mole of atoms
Total moment ... 0.0 Bohr magnetons per cell
DFT total energy ... -158.1 eV per cell
DOS at the Fermi energy ... 5.94 states/eV/cell

```
6
Lattice="-1.1064 2.9182 -0.1997 -2.4249 -1.2221 -4.4237 -6.0989 -3.6894 4.3624" Properties=species:S:1:pos:R:3 pbc="T T T"
Mg -6.9568 -0.8924 1.0147
Zr -0.0281 -0.0094 0.0180
Zr -2.7741 0.7145 1.3233
Zr -4.4222 -1.4826 2.8337
Zr -2.4869 0.6063 -1.8495
Zr -4.1504 -1.5961 -0.3292
```

---

Entry 4:
Computed, not measured: MgZr5 at its PBEsol-relaxed geometry at the meta-GGA SCAN level of DFT.

## Properties
SG ... No. 8
E_form ... 3.8 kJ per mole of atoms
Total moment ... 0.0 Bohr magnetons per cell
DFT total energy ... -158.2 eV per cell
DOS at the Fermi energy ... 5.40 states/eV/cell

```
6
Lattice="3.1197 0.0000 0.0000 -1.5599 5.8442 -0.0015 0.0000 -1.8586 7.3014" Properties=species:S:1:pos:R:3 pbc="T T T"
Mg 1.5599 0.8920 6.9485
Zr 0.0000 -1.8280 7.2729
Zr 0.0000 4.0650 2.0035
Zr 1.5599 1.2964 2.4482
Zr 0.0000 -0.5487 4.4906
Zr 0.0000 2.6350 4.8216
```

---

Entry 5:
Computed, not measured: Mn at its PBEsol-relaxed geometry at the meta-GGA SCAN level of DFT.

## Properties
SG ... No. 63
E_form ... 11.9 kJ per mole of atoms
Total moment ... 0.1 Bohr magnetons per cell
DFT total energy ... -145.1 eV per cell
DOS at the Fermi energy ... 7.56 states/eV/cell

```
8
Lattice="-1.2565 1.8017 -1.0572 -3.1894 -2.4272 2.4649 1.2643 4.3625 5.9318" Properties=species:S:1:pos:R:3 pbc="T T T"
Mn -3.3594 -0.3788 3.3470
Mn 0.1777 4.1159 3.9923
Mn -0.9370 -0.3109 0.5838
Mn -2.2446 4.0479 6.7556
Mn -2.8350 2.0108 3.9856
Mn -0.3467 1.7262 3.3537
Mn -2.2005 1.2365 1.9120
Mn -0.9812 2.5005 5.4274
```

---

Entry 6:
Computed, not measured: Mn at its PBEsol-relaxed geometry at the meta-GGA SCAN level of DFT.

## Properties
SG ... No. 191
E_form ... 25.3 kJ per mole of atoms
Total moment ... 0.0 Bohr magnetons per cell
DFT total energy ... -54.0 eV per cell
DOS at the Fermi energy ... 3.81 states/eV/cell

```
3
Lattice="-1.1046 0.7918 2.0032 2.7032 -1.6937 2.1600 0.4740 3.6377 -1.1764" Properties=species:S:1:pos:R:3 pbc="T T T"
Mn 0.6648 2.2564 0.9373
Mn 1.4079 0.4793 2.0495
Mn 0.0000 0.0000 0.0000
```

---

Entry 7:
Computed, not measured: Mn at its PBEsol-relaxed geometry at the meta-GGA SCAN level of DFT.

## Properties
SG ... No. 213
E_form ... 14.4 kJ per mole of atoms
Total moment ... 9.3 Bohr magnetons per cell
DFT total energy ... -362.1 eV per cell
DOS at the Fermi energy ... 22.39 states/eV/cell

```
20
Lattice="5.9395 0.0000 0.0000 0.0000 5.9395 0.0000 0.0000 0.0000 5.9395" Properties=species:S:1:pos:R:3 pbc="T T T"
Mn 3.2870 3.2870 3.2870
Mn 2.6525 0.3173 5.6222
Mn 5.6222 2.6525 0.3173
Mn 0.3173 5.6222 2.6525
Mn 1.1676 1.1676 1.1676
Mn 4.7718 4.1373 1.8021
Mn 1.8021 4.7718 4.1373
Mn 4.1373 1.8021 4.7718
Mn 3.7122 4.1407 5.6256
Mn 5.6256 3.7122 4.1407
Mn 4.1407 5.6256 3.7122
Mn 5.1970 1.7988 2.6558
Mn 2.6558 5.1970 1.7988
Mn 1.7988 2.6558 5.1970
Mn 0.7424 4.7685 0.3139
Mn 0.3139 0.7424 4.7685
Mn 4.7685 0.3139 0.7424
Mn 2.2273 1.1710 3.2836
Mn 3.2836 2.2273 1.1710
Mn 1.1710 3.2836 2.2273
```

---

Entry 8:
Computed, not measured: Mn at its PBEsol-relaxed geometry at the meta-GGA SCAN level of DFT.

## Properties
SG ... No. 217
E_form ... 0.0 kJ per mole of atoms
Total moment ... 0.5 Bohr magnetons per cell
DFT total energy ... -529.4 eV per cell
DOS at the Fermi energy ... 29.58 states/eV/cell

```
29
Lattice="-0.9395 -4.4647 5.7566 0.1023 -3.9648 -6.1826 6.3640 3.5993 0.7060" Properties=species:S:1:pos:R:3 pbc="T T T"
Mn 0.0000 0.0000 0.0000
Mn -0.3429 -1.6294 2.1009
Mn 0.0373 -1.4470 -2.2564
Mn 3.5097 -3.0673 0.1778
Mn 2.3226 1.3136 0.2577
Mn 1.4687 -1.5580 3.7222
Mn 3.7157 -1.7254 2.6182
Mn 2.2032 -3.1673 -1.8711
Mn 1.2567 -4.6959 -0.0870
Mn -0.2389 -3.8384 -1.9101
Mn 1.8693 -3.3275 1.9546
Mn 3.8976 0.9154 -1.5523
Mn 2.1014 -1.2545 -3.5284
Mn 4.2096 -0.7435 0.3362
Mn -0.5378 -3.9818 1.5148
Mn 4.1248 -1.5291 -2.0703
Mn 3.5638 0.7552 2.2734
Mn 4.5417 0.0961 4.1881
Mn 1.1340 -3.4272 -3.8323
Mn 2.0327 -1.0264 1.3006
Mn 5.0702 1.3278 0.4980
Mn -0.6934 -6.0930 0.7559
Mn 2.2343 -0.9297 -1.0101
Mn 4.0831 -0.9348 -4.5421
Mn 5.1966 0.4103 -3.3171
Mn 0.8208 -2.4904 -0.0327
Mn -0.5081 -6.0041 -1.3673
Mn 0.4791 -3.7415 3.6729
Mn 3.2429 -1.3380 5.0863
```

---

Entry 9:
Computed, not measured: Mn at its PBEsol-relaxed geometry at the meta-GGA SCAN level of DFT.

## Properties
SG ... No. 227
E_form ... 154.4 kJ per mole of atoms
Total moment ... 0.0 Bohr magnetons per cell
DFT total energy ... -33.3 eV per cell
DOS at the Fermi energy ... 0.84 states/eV/cell

```
2
Lattice="3.4556 0.0000 0.0000 1.7278 2.9927 0.0000 1.7278 0.9976 2.8215" Properties=species:S:1:pos:R:3 pbc="T T T"
Mn 1.7278 0.9976 0.7054
Mn 0.0000 0.0000 0.0000
```

---

Entry 10:
Computed, not measured: Mn at its PBEsol-relaxed geometry at the meta-GGA SCAN level of DFT.

## Properties
SG ... No. 229
E_form ... 74.5 kJ per mole of atoms
Total moment ... 10.9 Bohr magnetons per cell
DFT total energy ... -87.4 eV per cell
DOS at the Fermi energy ... 5.75 states/eV/cell

```
5
Lattice="-3.0812 -2.3384 2.3202 3.7088 -2.5119 -0.5292 1.0428 3.7642 2.2557" Properties=species:S:1:pos:R:3 pbc="T T T"
Mn 0.0000 0.0000 0.0000
Mn 0.8352 -0.5430 2.0233
Mn 1.8544 -1.2559 -0.2646
Mn -1.5406 -1.1692 1.1601
Mn 0.5214 1.8821 1.1278
```

---

Entry 11:
Computed, not measured: Mn at its PBEsol-relaxed geometry at the meta-GGA SCAN level of DFT.

## Properties
SG ... No. 166
E_form ... 22.2 kJ per mole of atoms
Total moment ... 0.5 Bohr magnetons per cell
DFT total energy ... -54.1 eV per cell
DOS at the Fermi energy ... 3.73 states/eV/cell

```
3
Lattice="-1.4657 -1.9461 0.2625 0.9639 -2.2090 0.4423 -0.4885 -0.3545 6.0818" Properties=species:S:1:pos:R:3 pbc="T T T"
Mn 0.0000 0.0000 0.0000
Mn -0.2744 -1.0414 2.1847
Mn -0.7160 -3.4682 4.6019
```

---

Entry 12:
Computed, not measured: Mn at its PBEsol-relaxed geometry at the meta-GGA SCAN level of DFT.

## Properties
SG ... No. 225
E_form ... 22.3 kJ per mole of atoms
Total moment ... 0.3 Bohr magnetons per cell
DFT total energy ... -18.0 eV per cell
DOS at the Fermi energy ... 1.28 states/eV/cell

```
1
Lattice="2.4436 -0.0350 -0.0509 -1.1895 2.1349 0.0509 -1.1895 -0.7140 2.0126" Properties=species:S:1:pos:R:3 pbc="T T T"
Mn -1.1895 0.7104 1.0317
```

---

Entry 13:
Computed, not measured: Mn at its PBEsol-relaxed geometry at the meta-GGA SCAN level of DFT.

## Properties
SG ... No. 194
E_form ... 22.7 kJ per mole of atoms
Total moment ... 0.0 Bohr magnetons per cell
DFT total energy ... -36.0 eV per cell
DOS at the Fermi energy ... 2.56 states/eV/cell

```
2
Lattice="-2.0493 1.2280 0.5389 0.1485 -2.3995 0.4674 1.4256 0.7925 3.6154" Properties=species:S:1:pos:R:3 pbc="T T T"
Mn 0.4851 -0.5960 3.2028
Mn -0.9603 0.2170 1.4189
```

---

Entry 14:
Computed, not measured: Mn at its PBEsol-relaxed geometry at the meta-GGA SCAN level of DFT.

## Properties
SG ... No. 223
E_form ... 12.6 kJ per mole of atoms
Total moment ... 7.0 Bohr magnetons per cell
DFT total energy ... -145.0 eV per cell
DOS at the Fermi energy ... 9.92 states/eV/cell

```
8
Lattice="4.3630 0.0000 0.0000 0.0000 4.3630 0.0000 0.0000 0.0000 4.3630" Properties=species:S:1:pos:R:3 pbc="T T T"
Mn 0.0000 0.0000 0.0000
Mn 2.1815 2.1815 2.1815
Mn 1.0908 0.0000 2.1815
Mn 3.2723 0.0000 2.1815
Mn 0.0000 2.1815 1.0908
Mn 0.0000 2.1815 3.2723
Mn 2.1815 3.2723 0.0000
Mn 2.1815 1.0908 0.0000
```

---

Entry 15:
Computed, not measured: Mn2Mo at its PBEsol-relaxed geometry at the meta-GGA SCAN level of DFT.

## Properties
SG ... No. 194
E_form ... 4.7 kJ per mole of atoms
Total moment ... 0.0 Bohr magnetons per cell
DFT total energy ... -570.0 eV per cell
DOS at the Fermi energy ... 33.02 states/eV/cell

```
24
Lattice="-0.3210 -4.6441 0.1321 3.3569 2.1710 2.3887 -9.2454 0.9831 12.0993" Properties=species:S:1:pos:R:3 pbc="T T T"
Mn -5.9339 0.7569 12.1909
Mn -0.2755 -2.2469 2.4292
Mn -2.5372 -2.0064 5.3890
Mn -3.6722 0.5164 9.2310
Mn 1.6785 1.0855 1.1944
Mn -0.1605 -2.3220 0.0661
Mn 1.5180 -1.2366 1.2604
Mn -2.9442 1.5770 7.2440
Mn -4.7832 -1.8305 6.1157
Mn -3.1047 -0.7450 7.3100
Mn -4.3336 -0.5941 11.1697
Mn -5.9085 0.6889 9.8620
Mn -4.1671 1.8150 11.1012
Mn -1.8758 -0.8960 3.4504
Mn -0.3009 -2.1789 4.7581
Mn -2.0423 -3.3051 3.5189
Mo -8.3922 0.8924 10.9827
Mo -0.8532 0.0907 1.1165
Mo -3.7695 0.4008 4.9331
Mo -5.4759 0.5823 7.1662
Mo 0.6880 0.0527 3.5249
Mo -6.8974 -1.5427 11.0952
Mo -5.1606 -1.7274 8.8223
Mo -1.0488 0.2374 5.7978
```

---

Entry 16:
Computed, not measured: Mn2Mo at its PBEsol-relaxed geometry at the meta-GGA SCAN level of DFT.

## Properties
SG ... No. 227
E_form ... 5.9 kJ per mole of atoms
Total moment ... 0.0 Bohr magnetons per cell
DFT total energy ... -142.4 eV per cell
DOS at the Fermi energy ... 8.07 states/eV/cell

```
6
Lattice="4.6628 0.0000 0.0000 2.3314 4.0381 0.0000 2.3314 1.3460 3.8071" Properties=species:S:1:pos:R:3 pbc="T T T"
Mn 3.4971 3.3651 2.3795
Mn 5.8285 3.3651 2.3795
Mn 4.6628 2.6920 0.4759
Mn 4.6628 1.3460 2.3795
Mo 0.0000 0.0000 0.0000
Mo 2.3314 1.3460 0.9518
```

---

Entry 17:
Computed, not measured: MnMo at its PBEsol-relaxed geometry at the meta-GGA SCAN level of DFT.

## Properties
SG ... No. 225
E_form ... 85.8 kJ per mole of atoms
Total moment ... 1.2 Bohr magnetons per cell
DFT total energy ... -51.4 eV per cell
DOS at the Fermi energy ... 1.71 states/eV/cell

```
2
Lattice="-2.2690 2.4093 -0.7995 -0.7087 0.6548 -3.2651 -3.0259 -0.8733 -1.2935" Properties=species:S:1:pos:R:3 pbc="T T T"
Mn 0.0000 0.0000 0.0000
Mo -3.0018 1.0954 -2.6790
```

---

Entry 18:
Computed, not measured: MnMo4 at its PBEsol-relaxed geometry at the meta-GGA SCAN level of DFT.

## Properties
SG ... No. 229
E_form ... 108.9 kJ per mole of atoms
Total moment ... 0.0 Bohr magnetons per cell
DFT total energy ... -152.2 eV per cell
DOS at the Fermi energy ... 3.13 states/eV/cell

```
5
Lattice="-1.7082 1.1677 -4.2949 -3.6219 -0.6011 3.0410 2.8412 3.4861 1.5817" Properties=species:S:1:pos:R:3 pbc="T T T"
Mn 0.0000 0.0000 0.0000
Mo 1.4206 1.7431 0.7909
Mo -1.8110 -0.3005 1.5205
Mo -0.8541 0.5839 -2.1474
Mo -1.2445 2.0264 0.1640
```

---

Entry 19:
Computed, not measured: MnMoRuN2 at its PBEsol-relaxed geometry at the meta-GGA SCAN level of DFT.

## Properties
SG ... No. 123
Total moment ... 0.8 Bohr magnetons per cell
ΔE_f (raw) ... 1158 meV/atom
DFT total energy ... -100.8 eV per cell
DOS at the Fermi energy ... 3.78 states/eV/cell

```
5
Lattice="3.5023 0.0000 0.0000 0.0000 3.5023 0.0000 0.0000 0.0000 5.1134" Properties=species:S:1:pos:R:3 pbc="T T T"
Ru 0.0000 0.0000 2.5567
Mo 1.7511 1.7511 2.5567
Mn 0.0000 0.0000 0.0000
N 0.0000 1.7511 0.0000
N 1.7511 0.0000 0.0000
```

---

Entry 20:
Computed, not measured: Mn2NbMo at its PBEsol-relaxed geometry at the meta-GGA SCAN level of DFT.

## Properties
SG ... No. 225
E_form ... 4.2 kJ per mole of atoms
Total moment ... 0.0 Bohr magnetons per cell
DFT total energy ... -104.4 eV per cell
DOS at the Fermi energy ... 2.58 states/eV/cell

```
4
Lattice="4.2306 0.0000 0.0000 2.1153 3.6638 0.0000 2.1153 1.2213 3.4543" Properties=species:S:1:pos:R:3 pbc="T T T"
Mo 4.2306 2.4425 1.7271
Mn 2.1153 1.2213 0.8636
Mn 6.3459 3.6638 2.5907
Nb 0.0000 0.0000 0.0000
```